1.
6
Lattice="-2.8655 -2.5306 -3.9356 5.3615 -1.0158 0.5723 -1.4160 -5.0600 4.2846" Properties=species:S:1:pos:R:3 comment="TbPmIn | the Alexandria database | GGA-PBE | optimized geometry" dft_energy_ev_per_cell=-26.32 polymorph_energy_ev_per_atom=0.000 dos_ef_per_ev_atom=1.241 delta_e_f_ev_per_atom=-0.35 total_magnetization_mub_per_cell=0.005 pbc="T T T"
Pm 1.9727 -3.0379 2.4284
Pm 2.6807 -0.5079 0.2861
In -1.1227 -4.8077 1.9975
In 2.2025 -3.7988 -1.0762
Tb -0.4163 -2.2780 -0.1457
Tb 1.4962 -6.3285 1.0670

2.
9
Lattice="3.6528 0.0000 0.0000 0.0000 7.4888 -4.3237 0.0000 0.0000 8.6474" Properties=species:S:1:pos:R:3 comment="TbPm2In6 | the Alexandria database | GGA-PBE | optimized geometry" dft_energy_ev_per_cell=-34.56 dos_ef_per_ev_atom=0.349 delta_e_f_ev_per_atom=-0.44 total_magnetization_mub_per_cell=0.000 pbc="T T T"
Pm 3.6528 4.9926 0.0000
Pm 0.0000 2.4963 4.3237
In 1.8264 5.0006 5.7603
In 1.8264 2.4883 1.4366
In 1.8264 5.0006 2.8871
In 1.8264 2.4883 -1.4366
In 1.8264 7.4888 -1.4505
In 1.8264 0.0000 5.7741
Tb 0.0000 0.0000 8.6473

3.
19
Lattice="8.4653 0.6857 0.8215 -0.6056 8.4714 0.8215 -0.6056 -0.7055 8.4818" Properties=species:S:1:pos:R:3 comment="Tb12Pm6In | the Alexandria database | GGA-PBE | optimized geometry" dft_energy_ev_per_cell=-85.57 dos_ef_per_ev_atom=1.343 delta_e_f_ev_per_atom=0.07 total_magnetization_mub_per_cell=0.000 pbc="T T T"
Tb 3.4270 4.9468 2.7228
Tb 1.3606 3.1566 0.5626
Tb 4.3403 8.2239 8.2303
Tb 3.8272 3.5048 7.4021
Tb 4.3701 1.9396 4.5573
Tb 5.9995 4.7921 4.7711
Tb 5.8936 5.2950 9.5623
Tb -0.2167 1.3432 3.2063
Tb 7.4709 7.1084 6.9185
Tb 1.2547 3.6595 5.3537
Tb 2.9139 0.2277 1.8946
Tb 2.8841 6.5120 5.5676
Pm 5.5396 7.9788 3.9144
Pm 5.6964 2.6083 1.5749
Pm 1.5578 5.8433 8.5499
Pm 1.7146 0.4728 6.2104
Pm 7.0468 2.6568 7.2770
Pm 0.2074 5.7948 2.8478
In 0.0000 0.0000 0.0000

4.
8
Lattice="4.4428 0.0000 -0.7155 -0.1857 4.7943 -1.1529 -0.5416 0.0340 10.7883" Properties=species:S:1:pos:R:3 comment="Tb3Pm2In3 | the Alexandria database | GGA-PBE | optimized geometry" dft_energy_ev_per_cell=-34.46 dos_ef_per_ev_atom=0.923 delta_e_f_ev_per_atom=-0.36 total_magnetization_mub_per_cell=0.000 pbc="T T T"
Pm 0.7371 3.6685 4.5766
Pm 2.9785 1.1598 4.3433
Tb 2.5022 2.9695 1.3857
Tb 1.2134 1.8588 7.5342
Tb 2.2214 0.0000 -0.3578
In 0.3893 0.5964 2.4175
In 3.3262 4.2318 6.5024
In -0.0928 2.3971 -0.5764

5.
12
Lattice="5.8244 0.0000 0.0000 2.9122 4.3122 -0.4639 2.9122 -0.5306 14.6183" Properties=species:S:1:pos:R:3 comment="Tb5Pm3In4 | the Alexandria database | GGA-PBE | optimized geometry" dft_energy_ev_per_cell=-49.17 dos_ef_per_ev_atom=0.829 delta_e_f_ev_per_atom=-0.07 total_magnetization_mub_per_cell=0.000 pbc="T T T"
Pm 5.8244 0.8639 10.0485
Pm 5.8244 2.9177 4.1060
Pm 2.9122 1.8908 7.0772
In 8.7366 4.1106 4.4178
In 2.9122 -0.4638 12.8796
In 8.7366 4.2455 1.2749
In 2.9122 -0.3290 9.7366
Tb 2.9122 1.3840 2.6967
Tb 5.8244 0.9612 13.7032
Tb 5.8244 1.8908 7.0772
Tb 5.8244 2.8204 0.4512
Tb 8.7366 2.3976 11.4578

6.
20
Lattice="5.0071 0.0000 0.0000 0.0000 5.0071 0.0000 0.0000 0.0000 25.3613" Properties=species:S:1:pos:R:3 comment="Tb15Pm4In | the Alexandria database | GGA-PBE | optimized geometry" dft_energy_ev_per_cell=-91.86 dos_ef_per_ev_atom=1.213 delta_e_f_ev_per_atom=-0.03 total_magnetization_mub_per_cell=0.001 pbc="T T T"
Pm 0.0000 0.0000 10.1218
Pm 0.0000 0.0000 5.0062
Pm 0.0000 0.0000 15.2395
Pm 0.0000 0.0000 20.3551
Tb 2.5035 2.5035 0.0000
Tb 2.5035 2.5035 20.4172
Tb 0.0000 2.5035 22.9358
Tb 0.0000 2.5035 12.6806
Tb 2.5035 2.5035 10.1027
Tb 2.5035 0.0000 22.9358
Tb 2.5035 2.5035 15.2586
Tb 0.0000 2.5035 7.5543
Tb 2.5035 0.0000 2.4255
Tb 2.5035 0.0000 7.5543
Tb 2.5035 0.0000 12.6806
Tb 0.0000 2.5035 2.4255
Tb 0.0000 2.5035 17.8070
Tb 2.5035 2.5035 4.9441
Tb 2.5035 0.0000 17.8070
In 0.0000 0.0000 0.0000

7.
9
Lattice="5.3330 0.0006 0.0009 2.6660 4.6154 0.1678 -0.0018 -0.3772 10.4061" Properties=species:S:1:pos:R:3 comment="Tb3Pm2In4 | the Alexandria database | GGA-PBE | optimized geometry" dft_energy_ev_per_cell=-38.05 polymorph_energy_ev_per_atom=0.000 dos_ef_per_ev_atom=0.967 delta_e_f_ev_per_atom=-0.41 total_magnetization_mub_per_cell=0.000 pbc="T T T"
In 2.6649 4.3692 6.9374
In 2.6661 1.5007 1.1023
In 5.3310 2.7381 9.4725
In 5.3323 -0.1304 3.6375
Tb 2.6656 1.3791 4.4762
Tb 5.3316 2.8597 6.0986
Tb 0.0000 0.0000 0.0000
Pm 2.6649 1.2444 8.1579
Pm 5.3322 2.9944 2.4170

8.
12
Lattice="-0.2487 -4.4746 -2.5578 7.5445 -0.6520 5.6134 -7.9295 0.5183 5.0705" Properties=species:S:1:pos:R:3 comment="Tb3Pm2In | the Alexandria database | GGA-PBE | optimized geometry" dft_energy_ev_per_cell=-53.90 polymorph_energy_ev_per_atom=0.015 dos_ef_per_ev_atom=1.277 delta_e_f_ev_per_atom=-0.14 total_magnetization_mub_per_cell=0.000 pbc="T T T"
In 1.3611 -1.3077 4.7592
In -1.9947 -3.3006 3.3670
Tb 3.7723 -0.3260 2.8067
Tb 0.7080 -4.4758 5.1614
Tb -1.6059 -2.0541 6.3547
Tb -4.0891 -1.9782 1.2564
Tb 0.9723 -2.5542 1.7714
Tb -1.3416 -0.1325 2.9648
Pm 6.3376 -1.6841 4.9338
Pm 3.8760 -3.7446 3.5729
Pm -6.9712 -2.9242 3.1924
Pm -4.5096 -0.8637 4.5532

9.
13
Lattice="-2.8924 5.6710 -0.0678 -3.3830 -5.2863 1.0680 1.7902 1.0426 10.8310" Properties=species:S:1:pos:R:3 comment="TbPm6In6 | the Alexandria database | GGA-PBE | optimized geometry" dft_energy_ev_per_cell=-53.85 dos_ef_per_ev_atom=1.197 delta_e_f_ev_per_atom=-0.33 total_magnetization_mub_per_cell=1.604 pbc="T T T"
Pm -2.1608 2.5398 5.7263
Pm -3.0559 2.0186 0.3108
Pm 1.1943 0.6955 7.2259
Pm -3.2194 -1.6339 0.6894
Pm 0.5959 0.3470 3.6051
Pm -2.3244 -1.1126 6.1049
In -2.6968 0.4491 3.1674
In -0.0969 3.6213 8.1298
In -0.3422 -1.8573 8.6977
In -1.7884 0.9781 8.6638
In -1.2506 -2.3864 3.2013
In -1.0053 3.0922 2.6334
Tb 0.0000 0.0000 0.0000

10.
4
Lattice="-3.0652 1.2275 1.9070 1.6523 -0.9876 3.2915 3.1028 6.9349 0.5232" Properties=species:S:1:pos:R:3 comment="TbPmIn2 | the Alexandria database | GGA-PBE | optimized geometry" dft_energy_ev_per_cell=-16.81 dos_ef_per_ev_atom=0.571 delta_e_f_ev_per_atom=-0.49 total_magnetization_mub_per_cell=0.000 pbc="T T T"
Pm 0.8449 3.5874 2.8608
Tb -0.7065 0.1200 2.5992
In 0.7508 1.6782 0.1266
In 2.3519 5.2567 0.3966

11.
19
Lattice="-3.0202 1.0525 -8.7707 -7.5838 -6.6219 6.7854 2.1268 8.1633 0.2472" Properties=species:S:1:pos:R:3 comment="Tb12Pm5In2 | the Alexandria database | GGA-PBE | optimized geometry" dft_energy_ev_per_cell=-85.06 dos_ef_per_ev_atom=1.375 delta_e_f_ev_per_atom=-0.01 total_magnetization_mub_per_cell=0.000 pbc="T T T"
Tb -7.6464 -3.6640 2.1934
Tb -3.0780 -1.1276 -0.9049
Tb -3.1455 3.9580 -5.3312
Tb -5.3991 3.7216 -0.8332
Tb -6.4992 -0.9571 0.2024
Tb -5.3316 -1.3640 3.5931
Tb -0.8307 6.2580 -3.9315
Tb -0.8451 1.2904 0.4459
Tb -4.9862 -0.4627 -6.4460
Tb -7.6321 1.3035 -2.1839
Tb -3.4910 3.0566 4.7080
Tb -1.9779 3.5511 -1.9405
Pm 1.0634 4.0817 0.1236
Pm -2.3480 4.4066 1.3373
Pm -4.2546 1.3606 1.6284
Pm -6.1292 -1.8127 -3.0754
Pm -4.2225 1.2334 -3.3664
In -0.9717 0.3386 -2.8219
In -2.0485 0.7139 -5.9487

12.
7
Lattice="5.0517 0.0000 -1.6103 -0.5133 5.0256 -1.6103 -0.1422 -0.1575 8.2828" Properties=species:S:1:pos:R:3 comment="Tb2PmIn4 | the Alexandria database | GGA-PBE | optimized geometry" dft_energy_ev_per_cell=-27.10 dos_ef_per_ev_atom=0.834 delta_e_f_ev_per_atom=-0.31 total_magnetization_mub_per_cell=0.000 pbc="T T T"
Tb 3.3173 3.6734 1.6776
Tb 1.0789 1.1947 3.3845
In 1.3636 4.3070 4.2776
In 4.1461 1.7942 4.2776
In 0.2501 3.0739 0.7844
In 3.0326 0.5611 0.7844
Pm 0.0000 0.0000 0.0000

13.
11
Lattice="-0.8345 -3.4949 -0.9578 7.5076 -3.4207 5.9405 -9.3520 1.1903 3.8052" Properties=species:S:1:pos:R:3 comment="Tb6PmIn4 | the Alexandria database | GGA-PBE | optimized geometry" dft_energy_ev_per_cell=-46.73 dos_ef_per_ev_atom=0.906 delta_e_f_ev_per_atom=-0.30 total_magnetization_mub_per_cell=2.234 pbc="T T T"
Tb -6.5511 -1.4373 3.7339
Tb -2.5544 -1.9460 2.1077
Tb 2.6139 -2.6083 7.2400
Tb -0.2739 -1.2925 4.9550
Tb 3.3233 -1.7503 3.4913
Tb -3.3426 -2.8992 6.2727
Pm 0.0000 0.0000 0.0000
In -3.7321 -0.3467 4.5170
In -0.4490 -3.8095 7.0731
In 0.4996 -2.6623 2.0606
In 4.3609 -4.4217 5.1160

14.
11
Lattice="-0.2860 -0.8367 3.3413 -1.3648 -8.3631 -2.2109 10.3260 -2.8124 0.1796" Properties=species:S:1:pos:R:3 comment="Tb2Pm5In4 | the Alexandria database | GGA-PBE | optimized geometry" dft_energy_ev_per_cell=-47.12 polymorph_energy_ev_per_atom=0.000 dos_ef_per_ev_atom=1.126 delta_e_f_ev_per_atom=-0.29 total_magnetization_mub_per_cell=0.000 pbc="T T T"
In 0.8486 -2.4389 1.2496
In 7.8266 -9.5733 0.0604
In 3.1966 -7.9268 0.0764
In 5.4787 -4.0853 1.2336
Pm 0.3140 -7.4324 -1.8342
Pm -0.6824 -4.1816 -1.1055
Pm 2.8232 -4.7922 -0.9583
Pm 6.1381 -6.3833 -1.0730
Pm 8.6473 -3.7431 -0.1972
Tb 5.3342 -9.4709 -1.9149
Tb 3.6271 -1.7046 -0.1164

15.
10
Lattice="-2.7930 3.4218 -0.1202 -3.4261 -2.7124 2.3975 6.0060 2.4531 11.3583" Properties=species:S:1:pos:R:3 comment="Tb2PmIn2 | the Alexandria database | GGA-PBE | optimized geometry" dft_energy_ev_per_cell=-42.75 polymorph_energy_ev_per_atom=0.000 dos_ef_per_ev_atom=1.076 delta_e_f_ev_per_atom=-0.38 total_magnetization_mub_per_cell=0.000 pbc="T T T"
Tb -0.3583 -0.0404 7.2141
Tb 1.9004 4.7889 10.7243
Tb 0.1452 3.2028 6.4216
Tb -2.1135 -1.6264 2.9114
Pm 0.4687 0.5209 3.8497
Pm -0.6818 2.6416 9.7859
In -1.8370 1.4110 1.5618
In 2.3665 2.2363 8.5025
In 1.6239 1.7515 12.0739
In -2.5797 0.9262 5.1331

16.
7
Lattice="4.6972 0.0000 0.6234 0.0000 3.4871 0.0000 0.7159 0.0000 12.6142" Properties=species:S:1:pos:R:3 comment="Tb3Pm2In2 | the Alexandria database | GGA-PBE | optimized geometry" dft_energy_ev_per_cell=-29.99 polymorph_energy_ev_per_atom=0.000 dos_ef_per_ev_atom=1.096 delta_e_f_ev_per_atom=-0.16 total_magnetization_mub_per_cell=0.387 pbc="T T T"
Tb 0.0000 0.0000 0.0000
Tb 1.1597 0.0000 9.2705
Tb 4.2535 0.0000 3.9670
Pm 3.7527 1.7436 7.7402
Pm 1.6604 1.7436 5.4973
In 2.1196 1.7436 2.0373
In 3.2935 1.7436 11.2002

17.
6
Lattice="-1.7996 -2.0461 2.2174 -2.1997 -0.8774 -2.5949 10.7831 -10.0969 -3.3487" Properties=species:S:1:pos:R:3 comment="TbPmIn | the Alexandria database | GGA-PBE | optimized geometry" dft_energy_ev_per_cell=-25.58 polymorph_energy_ev_per_atom=0.124 dos_ef_per_ev_atom=0.904 delta_e_f_ev_per_atom=-0.22 total_magnetization_mub_per_cell=0.000 pbc="T T T"
Pm 7.7212 -10.1608 -3.1096
Pm -0.9374 -2.8597 -0.6166
In 2.3196 -3.0525 -0.9342
In 4.4642 -9.9680 -2.7920
Tb 1.6108 -6.2130 -1.6428
Tb 5.1730 -6.8075 -2.0834

18.
10
Lattice="4.4675 0.0000 -0.5969 0.0000 4.9539 0.0000 -0.5164 0.0000 13.0792" Properties=species:S:1:pos:R:3 comment="TbPm2In2 | the Alexandria database | GGA-PBE | optimized geometry" dft_energy_ev_per_cell=-43.07 polymorph_energy_ev_per_atom=0.000 dos_ef_per_ev_atom=0.952 delta_e_f_ev_per_atom=-0.39 total_magnetization_mub_per_cell=0.000 pbc="T T T"
Pm 0.1670 3.7154 1.2543
Pm 3.1314 1.2385 6.3614
Pm 3.7841 1.2385 11.2280
Pm 0.8197 3.7154 6.1209
Tb 0.4911 1.2385 3.6666
Tb 3.4600 3.7154 8.8157
In 1.5535 3.7154 11.5620
In 2.7430 3.7154 3.5153
In 2.3976 1.2385 0.9203
In 1.2081 1.2385 8.9671

19.
20
Lattice="10.6954 0.0000 0.0000 0.0000 5.2474 -0.2072 0.0000 0.4690 11.9256" Properties=species:S:1:pos:R:3 comment="Tb3Pm6In | the Alexandria database | GGA-PBE | optimized geometry" dft_energy_ev_per_cell=-89.53 polymorph_energy_ev_per_atom=0.048 dos_ef_per_ev_atom=1.311 delta_e_f_ev_per_atom=0.04 total_magnetization_mub_per_cell=0.000 pbc="T T T"
Pm 4.5108 2.9743 8.8298
Pm 8.3484 2.9141 7.2498
Pm 7.6947 0.0559 1.3906
Pm 1.8792 2.6579 0.7920
Pm 0.8369 5.3635 2.7635
Pm 6.1846 2.7421 2.8886
Pm 7.2269 0.2003 5.0672
Pm 3.0007 5.6605 10.3278
Pm 9.8585 0.3530 8.9549
Pm 2.3470 2.8023 4.4686
Pm 3.4685 5.5161 6.6512
Pm 8.8162 3.0585 10.9264
Tb 9.4805 2.7603 3.3660
Tb 1.2149 2.9561 8.3524
Tb 0.0000 0.2345 5.9628
Tb 6.5626 0.3711 9.4324
Tb 5.3477 2.6237 -0.1036
Tb 4.1328 5.3453 2.2860
In 0.0000 0.0000 0.0000
In 5.3477 2.8582 5.8592

20.
15
Lattice="-4.9567 4.5608 -6.2556 -9.1828 -0.2224 0.3598 -4.6906 6.7978 1.9186" Properties=species:S:1:pos:R:3 comment="TbPm8In6 | the Alexandria database | GGA-PBE | optimized geometry" dft_energy_ev_per_cell=-62.68 dos_ef_per_ev_atom=1.504 delta_e_f_ev_per_atom=-0.24 total_magnetization_mub_per_cell=0.000 pbc="T T T"
Pm -7.7695 4.8719 0.6999
Pm -12.4711 6.3270 -1.2777
Pm -6.3591 4.8093 -2.6995
Pm -10.8360 3.1511 -0.3887
Pm -7.9941 7.9851 -3.5885
Pm -9.4038 8.2309 -0.0562
Pm -11.0606 6.2643 -4.6771
Pm -9.4263 2.9054 -3.9210
In -7.7852 2.2325 -1.1791
In -11.0449 8.9037 -2.7981
In -12.5054 3.7160 -3.1957
In -6.3247 7.4203 -0.7815
In -10.8528 5.7670 1.5230
In -7.9774 5.3693 -5.5002
Tb 0.0000 0.0000 0.0000

21.
11
Lattice="-0.7791 -0.3538 -3.6092 4.6369 -7.6185 -0.2541 -10.6484 -1.4012 4.3421" Properties=species:S:1:pos:R:3 comment="Tb5Pm2In4 | the Alexandria database | GGA-PBE | optimized geometry" dft_energy_ev_per_cell=-45.03 polymorph_energy_ev_per_atom=0.124 dos_ef_per_ev_atom=1.066 delta_e_f_ev_per_atom=-0.13 total_magnetization_mub_per_cell=0.000 pbc="T T T"
Pm -7.3060 -4.5140 2.0197
Pm 0.5153 -4.8595 -1.5409
In 1.2614 -2.0724 -0.0691
In 3.3755 -5.5461 -0.1850
In -1.9907 -6.4079 -0.8481
In -4.7999 -2.9657 1.3269
Tb -0.3896 -0.1769 -1.8046
Tb -5.0648 -6.1292 -0.2118
Tb -1.7258 -3.2444 0.6906
Tb 0.9844 -7.6972 0.5421
Tb -7.7750 -1.6764 -0.0632